Entry 1:
Entry from OQMD via LeMat-Bulk: crystalline LiTaReO5 at its relaxed geometry (PBE).

Geometry as POSCAR:
```
LiTaReO5
1.0
-5.4140 -0.9390 0.1610
1.8808 -4.3629 2.7653
1.1092 5.8741 4.6155
Ta O Re Li
2 10 2 2
Direct
0.0000 0.0000 0.0000
0.0000 0.0000 0.5000
0.6537 0.7167 0.3834
0.7431 0.1992 0.0478
0.7167 0.6537 0.8834
0.9378 0.0622 0.7500
0.3463 0.2833 0.6166
0.2569 0.8008 0.9522
0.0622 0.9378 0.2500
0.1992 0.7431 0.5478
0.8008 0.2569 0.4522
0.2833 0.3463 0.1166
0.6357 0.3643 0.2500
0.3643 0.6357 0.7500
0.7071 0.2929 0.7500
0.2929 0.7071 0.2500
```

Computed properties:
final energy: -132.19 eV/cell

Entry 2:
Entry from OQMD via LeMat-Bulk: crystalline Li2ReTeO6 at its relaxed geometry (PBE).

Geometry as POSCAR:
```
Li2ReTeO6
1.0
-2.6880 -3.3300 2.3383
4.2747 -1.5451 2.7136
-1.7973 5.7295 6.0935
Re O Li Te
2 12 4 2
Direct
0.0000 0.5000 0.0913
0.5000 0.0000 0.5913
0.7854 0.8199 0.0828
0.7304 0.8270 0.7385
0.2146 0.1801 0.0828
0.7075 0.8449 0.4212
0.2854 0.6801 0.5828
0.7146 0.3199 0.5828
0.2304 0.6730 0.2385
0.7696 0.3270 0.2385
0.2696 0.1730 0.7385
0.2925 0.1551 0.4212
0.7925 0.3449 0.9212
0.2075 0.6551 0.9212
0.0000 0.5000 0.6951
0.5000 0.5000 0.7942
0.0000 0.0000 0.2942
0.5000 0.0000 0.1951
0.5000 0.5000 0.4043
0.0000 0.0000 0.9043
```

Computed properties:
final energy: -128.23 eV/cell

Entry 3:
Entry from OQMD via LeMat-Bulk: crystalline Li4ZnReO6 at its relaxed geometry (PBE).

Geometry as POSCAR:
```
Li4ZnReO6
1.0
-4.4928 2.4873 0.2280
1.4392 -2.2920 -4.3703
-1.1066 -4.0717 2.8045
O Re Li Zn
6 1 4 1
Direct
0.5568 0.9138 0.2392
0.0862 0.4432 0.7608
0.2444 0.2229 0.2382
0.3969 0.0635 0.7696
0.7771 0.7556 0.7618
0.9365 0.6031 0.2304
0.1672 0.8328 0.0000
0.4995 0.5005 0.0000
0.9934 0.0066 0.5000
0.3450 0.6550 0.5000
0.6629 0.3371 0.5000
0.8341 0.1659 0.0000
```

Computed properties:
final energy: -72.34 eV/cell

Entry 4:
Entry from OQMD via LeMat-Bulk: crystalline LiSmSO at its relaxed geometry (PBE).

Geometry as POSCAR:
```
LiSmSO
1.0
4.3907 0.0000 0.0000
0.0000 4.0827 0.0000
0.0000 0.0000 6.7630
O S Sm Li
2 2 2 2
Direct
0.5000 0.7677 0.6247
0.5000 0.2323 0.1247
0.0000 0.2694 0.7814
0.0000 0.7306 0.2814
0.5000 0.2659 0.4634
0.5000 0.7341 0.9634
0.0000 0.2310 0.1216
0.0000 0.7690 0.6216
```

Computed properties:
energy above the lowest structure with this stoichiometry: 120 meV/atom
final energy: -49.77 eV/cell

What is the final energy in the fourth record?
-49.77 eV/cell

The highest final energy belongs to which entry?
LiSmSO

What is the final energy in the second record?
-128.23 eV/cell

Which of these has the lowest final energy?
LiTaReO5